Entry from Alexandria: a relaxed Cs2Sc3Cl8 crystal (GGA-PBE).

Unit cell a=7.367 b=6.695 c=9.386 alpha=105.57 beta=113.10 gamma=90.00
Last column: magnetic moment on the atom in μB.
Fractional coordinates of all 13 atoms:
Cl 0.391 0.051 0.782  0.00
Cl 0.843 0.392 0.176  0.00
Cl 0.668 0.608 0.824  0.00
Cl 0.609 0.949 0.218  0.00
Cl 0.085 0.900 0.170  0.00
Cl 0.915 0.100 0.830  0.00
Cl 0.332 0.392 0.176  0.00
Cl 0.157 0.608 0.824  0.00
Sc 0.283 0.000 0.000  0.76
Sc 0.000 0.500 0.000  0.67
Sc 0.717 0.000 0.000  0.76
Cs 0.747 0.686 0.493  0.00
Cs 0.253 0.314 0.507  0.00

Values from the calculation:
ΔE_f (raw), eV/atom: -1.88
Energy, eV/cell: -59.9